# 1
4
Lattice="-0.758 -1.127 -5.156 4.638 -1.476 -2.178 -2.533 -1.639 4.397" Properties=species:S:1:pos:R:3 comment="MnCd2In (PBE-GGA, optimized geometry)" magnetic_moment_mub_per_fu=3.78 delta_e_f_mev_per_atom=224.4 pbc="T T T"
In 1.940 -1.302 -3.667
Cd 2.023 -2.208 -0.724
Cd 0.000 0.000 0.000
Mn -0.676 -2.034 -2.213

# 2
3
Lattice="4.950 0.000 0.000 2.475 4.286 0.000 2.475 1.429 4.041" Properties=species:S:1:pos:R:3 comment="ScHgSb (PBE-GGA, optimized geometry)" magnetic_moment_mub_per_fu=0.60 de_polymorph_mev_per_atom=353.7 pbc="T T T"
Sb 7.424 4.286 3.031
Sc 0.000 0.000 0.000
Hg 4.950 2.858 2.021

| no. | volume (Å³/cell) |
| --- | --- |
| 1 | 82.87 |
| 2 | 85.74 |